Entry 1:
{"formula": "Co3P", "functional": "GGA-PBEsol", "state": "relaxed", "n_ef_per_ev_cell": 3.61, "magnetic_moment_mub_per_fu": 2.87, "crystal_system": "orthorhombic", "formation_energy_mev_per_atom": -264, "space_group": "Immm, No. 71", "final_energy_ev_per_atom": -7.515, "relative_energy_mev_per_atom": 48, "lattice": [[2.659, 0.000, 0.000], [0.000, 3.877, 0.000], [-1.330, -1.939, 3.967]], "species": ["Co", "Co", "Co", "P"], "frac_coords": [[0.500, 0.000, 0.000], [0.281, 0.281, 0.563], [0.719, 0.719, 0.437], [0.000, 0.500, 0.000]]}



Entry 2:
{"formula": "ZnTc2Mo", "functional": "GGA-PBEsol", "state": "relaxed", "n_ef_per_ev_cell": 3.61, "magnetic_moment_mub_per_fu": 0.00, "crystal_system": "orthorhombic", "formation_energy_mev_per_atom": 92, "space_group": "Imm2, No. 44", "final_energy_ev_per_atom": -8.879, "lattice": [[-0.026, -0.985, -2.945], [1.545, -3.702, 1.225], [-4.789, 0.840, 1.399]], "species": ["Zn", "Tc", "Tc", "Mo"], "frac_coords": [[0.502, 0.502, 0.004], [0.000, 0.000, 0.000], [0.257, 0.757, 0.514], [0.741, 0.241, 0.482]]}



Entry 3:
{"formula": "CrBTeI2", "functional": "GGA-PBEsol", "state": "relaxed", "raw_formation_energy_mev_per_atom": 1106, "n_ef_per_ev_cell": 3.07, "magnetic_moment_mub_per_fu": 3.30, "crystal_system": "tetragonal", "space_group": "P4/mmm, No. 123", "final_energy_ev_per_atom": -3.758, "lattice": [[5.139, 0.000, 0.000], [0.000, 5.375, 0.000], [0.000, 0.000, 5.375]], "species": ["I", "I", "Cr", "B", "Te"], "frac_coords": [[0.000, 0.500, 0.000], [0.000, 0.000, 0.500], [0.000, 0.000, 0.000], [0.500, 0.500, 0.500], [0.500, 0.000, 0.000]]}